# 1
The following is a DFT calculation (PBE-GGA) of crystalline HfNb3Al at its relaxed geometry.

The space group is Pm-3m (No. 221) and the conventional cell measures 4.751, 4.751 and 4.751 Å, with angles of 90.00, 90.00 and 90.00 degrees. The asymmetric unit holds Hf at (0.000, 0.000, 0.000), Nb at (0.000, 0.500, 0.500) and Al at (0.500, 0.500, 0.500).

Its final energy is -7.846 eV per atom. The value obtained for the total moment is 0.00 μB/cell. The density of states at the Fermi level is 1.22 states/eV per atom. The calculation puts the relative energy among the computed polymorphs at 0.0 meV per atom.


# 2
The following is a DFT calculation (PBE-GGA) of crystalline Hf2Nb4Al at its relaxed geometry.

The space group is I4/mmm (No. 139) and the conventional cell measures 4.748, 4.748 and 13.694 Å, with angles of 90.00, 90.00 and 90.00 degrees. The asymmetric unit holds Hf at (0.000, 0.000, 0.121), Nb at (0.000, 0.000, 0.317), Nb at (0.000, 0.500, 0.000) and Al at (0.000, 0.000, 0.500).

Its final energy is -8.114 eV per atom. The value obtained for the total moment is 2.42 μB/cell. The density of states at the Fermi level is 1.64 states/eV per atom.


# 3
The following is a DFT calculation (PBE-GGA) of crystalline Hf3Nb4Al4 at its relaxed geometry.

The space group is Immm (No. 71) and the conventional cell measures 4.751, 5.747 and 15.317 Å, with angles of 90.00, 90.00 and 90.00 degrees. The asymmetric unit holds Hf at (0.000, 0.000, 0.000), Hf at (0.000, 0.500, 0.116), Nb at (0.000, 0.000, 0.178), Nb at (0.000, 0.230, 0.500) and Al at (0.000, 0.263, 0.322).

Its final energy is -7.690 eV per atom. The value obtained for the total moment is 0.00 μB/cell. The density of states at the Fermi level is 0.56 states/eV per atom.


# 4
The following is a DFT calculation (PBE-GGA) of crystalline Hf2Nb5Al3 at its relaxed geometry.

The space group is Ibam (No. 72) and the conventional cell measures 10.543, 13.510 and 5.460 Å, with angles of 90.00, 90.00 and 90.00 degrees. The asymmetric unit holds Hf at (0.131, 0.214, 0.000), Nb at (0.000, 0.000, 0.250), Nb at (0.089, 0.344, 0.500), Nb at (0.244, 0.500, 0.250), Al at (0.000, 0.500, 0.250) and Al at (0.139, 0.151, 0.500).

Its final energy is -8.019 eV per atom. The value obtained for the total moment is 0.00 μB/cell. The density of states at the Fermi level is 0.96 states/eV per atom.


# 5
The following is a DFT calculation (PBE-GGA) of crystalline HfNbAl4 at its relaxed geometry.

The space group is F-43m (No. 216) and the conventional cell measures 7.359, 7.359 and 7.359 Å, with angles of 90.00, 90.00 and 90.00 degrees. The asymmetric unit holds Hf at (0.000, 0.000, 0.000), Nb at (0.250, 0.250, 0.750) and Al at (0.125, 0.125, 0.375).

Its final energy is -6.211 eV per atom. The value obtained for the total moment is 0.00 μB/cell. The density of states at the Fermi level is 0.44 states/eV per atom.


# 6
The following is a DFT calculation (PBE-GGA) of crystalline HfNb5Al2 at its relaxed geometry.

The space group is Immm (No. 71) and the conventional cell measures 3.261, 8.691 and 10.552 Å, with angles of 90.00, 90.00 and 90.00 degrees. The asymmetric unit holds Hf at (0.000, 0.000, 0.000), Nb at (0.000, 0.202, 0.359), Nb at (0.000, 0.500, 0.000) and Al at (0.000, 0.500, 0.273).

Its final energy is -8.503 eV per atom. The value obtained for the total moment is 0.00 μB/cell. The density of states at the Fermi level is 0.85 states/eV per atom.


# 7
The following is a DFT calculation (PBE-GGA) of crystalline HfNbAl3 at its relaxed geometry.

The space group is Pm-3m (No. 221) and the conventional cell measures 4.935, 4.935 and 4.935 Å, with angles of 90.00, 90.00 and 90.00 degrees. The asymmetric unit holds Hf at (0.000, 0.000, 0.000), Nb at (0.500, 0.500, 0.500) and Al at (0.000, 0.000, 0.500).

Its final energy is -4.856 eV per atom. The value obtained for the total moment is 0.00 μB/cell. The density of states at the Fermi level is 1.43 states/eV per atom. The calculation puts the relative energy among the computed polymorphs at 1409.1 meV per atom.


# 8
The following is a DFT calculation (PBE-GGA) of crystalline Hf3NbAl at its relaxed geometry.

The space group is Pm-3m (No. 221) and the conventional cell measures 4.915, 4.915 and 4.915 Å, with angles of 90.00, 90.00 and 90.00 degrees. The asymmetric unit holds Hf at (0.000, 0.000, 0.500), Nb at (0.500, 0.500, 0.500) and Al at (0.000, 0.000, 0.000).

Its final energy is -7.726 eV per atom. The value obtained for the total moment is 1.67 μB/cell. The density of states at the Fermi level is 1.35 states/eV per atom. The calculation puts the relative energy among the computed polymorphs at 0.0 meV per atom.


# 9
The following is a DFT calculation (PBE-GGA) of crystalline HfNbAl at its relaxed geometry.

The space group is P-6m2 (No. 187) and the conventional cell measures 4.7252, 4.7252 and 2.8853 Å, with angles of 90.00, 90.00 and 120.00 degrees. The asymmetric unit holds Hf at (0.0000, 0.0000, 0.0000), Nb at (0.6667, 0.3333, 0.0000) and Al at (0.3333, 0.6667, 0.5000).

Its final energy is -7.944 eV per atom. The value obtained for the total moment is 0.00 μB/cell. The density of states at the Fermi level is 0.96 states/eV per atom. The calculation puts the relative energy among the computed polymorphs at 257.8 meV per atom.


# 10
The following is a DFT calculation (PBE-GGA) of crystalline HfNb3Al at its relaxed geometry.

The space group is Pm-3m (No. 221) and the conventional cell measures 4.898, 4.898 and 4.898 Å, with angles of 90.00, 90.00 and 90.00 degrees. The asymmetric unit holds Hf at (0.000, 0.000, 0.000), Nb at (0.000, 0.000, 0.500) and Al at (0.500, 0.500, 0.500).

Its final energy is -7.243 eV per atom. The value obtained for the total moment is 0.00 μB/cell. The density of states at the Fermi level is 1.12 states/eV per atom. The calculation puts the relative energy among the computed polymorphs at 602.5 meV per atom.


# 11
The following is a DFT calculation (PBE-GGA) of crystalline Hf2NbAl3 at its relaxed geometry.

The space group is Cmcm (No. 63) and the conventional cell measures 8.362, 10.174 and 5.252 Å, with angles of 90.00, 90.00 and 90.00 degrees. The asymmetric unit holds Hf at (0.167, 0.231, 0.250), Nb at (0.000, 0.075, 0.750), Al at (0.000, 0.336, 0.750) and Al at (0.217, 0.500, 0.000).

Its final energy is -7.099 eV per atom. The value obtained for the total moment is 0.00 μB/cell. The density of states at the Fermi level is 0.69 states/eV per atom.


# 12
The following is a DFT calculation (PBE-GGA) of crystalline Hf2NbAl2 at its relaxed geometry.

The space group is P-6m2 (No. 187) and the conventional cell measures 4.6083, 4.6083 and 5.6121 Å, with angles of 90.00, 90.00 and 120.00 degrees. The asymmetric unit holds Hf at (0.0000, 0.0000, 0.0000), Hf at (0.3333, 0.6667, 0.5000), Nb at (0.0000, 0.0000, 0.5000) and Al at (0.6667, 0.3333, 0.2551).

Its final energy is -7.451 eV per atom. The value obtained for the total moment is 0.00 μB/cell. The density of states at the Fermi level is 1.09 states/eV per atom. The calculation puts the relative energy among the computed polymorphs at 309.6 meV per atom.